Material: CdCl
Method: DFT, PBE
State: relaxed

Unit cell a=5.991 b=5.991 c=3.584 alpha=90.00 beta=90.00 gamma=129.60
Atoms (fractional coordinates):
Cl: 0.163 0.837 0.750
Cl: 0.837 0.163 0.250
Cd: 0.396 0.604 0.750
Cd: 0.604 0.396 0.250

Calculated density, g cm⁻³: 5.0
Formation energy without anion corrections, eV/atom: -0.683
Symmetry: Cmcm
Volume, Å³/atom: 24.78

Material: Cd4Cl3
Method: DFT, PBE
State: relaxed

Unit cell a=6.748 b=6.748 c=5.004 alpha=90.00 beta=90.00 gamma=120.00
Atoms (fractional coordinates):
Cd: 0.000 0.000 0.249
Cd: 0.000 0.000 0.751
Cd: 0.667 0.333 0.500
Cd: 0.333 0.667 0.500
Cl: 0.000 0.500 0.000
Cl: 0.500 0.500 0.000
Cl: 0.500 0.000 0.000

Calculated density, g cm⁻³: 4.7
Formation energy without anion corrections, eV/atom: -0.118
Symmetry: P6/mmm
Volume, Å³/atom: 28.19

Material: CdCl4
Method: DFT, PBE
State: relaxed

Unit cell a=5.946 b=5.946 c=5.946 alpha=117.65 beta=117.65 gamma=94.12
Atoms (fractional coordinates):
Cd: 0.000 0.000 0.000
Cl: 0.750 0.250 0.500
Cl: 0.250 0.750 0.500
Cl: 0.288 0.288 0.000
Cl: 0.712 0.712 0.000

Calculated density, g cm⁻³: 2.8
Formation energy without anion corrections, eV/atom: -0.080
Symmetry: I4/mmm
Volume, Å³/atom: 30.70

Material: CdCl3
Method: DFT, PBE
State: relaxed

Unit cell a=9.121 b=9.121 c=7.005 alpha=49.38 beta=49.38 gamma=90.00
Atoms (fractional coordinates):
Cl: 0.500 0.500 0.000
Cl: 0.250 0.750 0.500
Cl: 0.754 0.125 0.250
Cl: 0.996 0.625 0.250
Cl: 0.375 0.246 0.750
Cl: 0.875 0.004 0.750
Cd: 0.000 0.000 0.000
Cd: 0.750 0.250 0.500

Calculated density, g cm⁻³: 3.2
Formation energy without anion corrections, eV/atom: -0.498
Symmetry: I-42d
Volume, Å³/atom: 28.42

Material: CdCl
Method: DFT, PBE
State: relaxed

Unit cell a=8.068 b=8.068 c=8.068 alpha=90.00 beta=90.00 gamma=90.00
Atoms (fractional coordinates):
Cd: 0.250 0.500 0.000
Cd: 0.750 0.500 0.000
Cd: 0.500 0.000 0.250
Cd: 0.500 0.000 0.750
Cd: 0.000 0.250 0.500
Cd: 0.000 0.750 0.500
Cl: 0.250 0.000 0.500
Cl: 0.750 0.000 0.500
Cl: 0.000 0.500 0.250
Cl: 0.000 0.500 0.750
Cl: 0.500 0.250 0.000
Cl: 0.500 0.750 0.000

Calculated density, g cm⁻³: 2.8
Formation energy without anion corrections, eV/atom: -0.348
Symmetry: Pm-3n
Volume, Å³/atom: 43.77

Material: Cd3Cl
Method: DFT, PBE
State: relaxed

Unit cell a=3.395 b=3.395 c=8.088 alpha=90.00 beta=90.00 gamma=90.00
Atoms (fractional coordinates):
Cl: 0.500 0.500 0.750
Cd: 0.000 0.000 0.005
Cd: 0.500 0.500 0.250
Cd: 0.000 0.000 0.495

Calculated density, g cm⁻³: 6.6
Formation energy without anion corrections, eV/atom: -0.221
Symmetry: P4/mmm
Volume, Å³/atom: 23.30

Material: CdCl3
Method: DFT, PBE
State: relaxed

Unit cell a=9.411 b=9.411 c=9.411 alpha=30.19 beta=30.19 gamma=30.19
Atoms (fractional coordinates):
Cl: 0.500 0.500 0.500
Cl: 0.916 0.916 0.916
Cl: 0.084 0.084 0.084
Cd: 0.000 0.000 0.000

Calculated density, g cm⁻³: 1.9
Formation energy without anion corrections, eV/atom: -0.149
Symmetry: R-3m
Volume, Å³/atom: 46.68

Material: Cd3Cl
Method: DFT, PBE
State: relaxed

Unit cell a=4.672 b=4.672 c=4.672 alpha=90.00 beta=90.00 gamma=90.00
Atoms (fractional coordinates):
Cl: 0.000 0.000 0.000
Cd: 0.000 0.500 0.500
Cd: 0.500 0.000 0.500
Cd: 0.500 0.500 0.000

Calculated density, g cm⁻³: 6.1
Formation energy without anion corrections, eV/atom: -0.089
Symmetry: Pm-3m
Volume, Å³/atom: 25.50

Material: Cd3Cl
Method: DFT, PBE
State: relaxed

Unit cell a=8.506 b=8.506 c=8.506 alpha=25.13 beta=25.13 gamma=25.13
Atoms (fractional coordinates):
Cl: 0.000 0.000 0.000
Cd: 0.751 0.751 0.751
Cd: 0.500 0.500 0.500
Cd: 0.249 0.249 0.249

Calculated density, g cm⁻³: 6.3
Formation energy without anion corrections, eV/atom: -0.279
Symmetry: R-3m
Volume, Å³/atom: 24.41

Material: Cd2CoCl
Method: DFT, PBE
State: relaxed

Unit cell a=5.739 b=5.739 c=5.739 alpha=139.25 beta=139.25 gamma=58.99
Atoms (fractional coordinates):
Cl: 0.250 0.750 0.500
Co: 0.750 0.250 0.500
Cd: 0.000 0.000 0.000
Cd: 0.500 0.500 0.000

Calculated density, g cm⁻³: 6.6
Formation energy without anion corrections, eV/atom: 0.365
Energy above the most stable polymorph in this dataset, meV per atom: 373
Symmetry: I4/mmm
Volume, Å³/atom: 19.94

Material: CdCo2Cl
Method: DFT, PBE
State: relaxed

Unit cell a=4.505 b=4.505 c=7.732 alpha=73.07 beta=73.07 gamma=90.00
Atoms (fractional coordinates):
Cl: 0.500 0.500 0.000
Cl: 0.250 0.750 0.500
Co: 0.472 0.125 0.250
Co: 0.278 0.625 0.250
Co: 0.375 0.528 0.750
Co: 0.875 0.722 0.750
Cd: 0.000 0.000 0.000
Cd: 0.750 0.250 0.500

Calculated density, g cm⁻³: 6.2
Formation energy without anion corrections, eV/atom: 0.562
Energy above the most stable polymorph in this dataset, meV per atom: 449
Symmetry: I-42d
Volume, Å³/atom: 17.87

Material: Cd2CoCl
Method: DFT, PBE
State: relaxed

Unit cell a=3.038 b=3.038 c=8.858 alpha=90.00 beta=90.00 gamma=90.00
Atoms (fractional coordinates):
Cl: 0.000 0.000 0.593
Co: 0.500 0.500 0.729
Cd: 0.000 0.000 0.949
Cd: 0.500 0.500 0.228

Calculated density, g cm⁻³: 6.5
Formation energy without anion corrections, eV/atom: 0.116
Energy above the most stable polymorph in this dataset, meV per atom: 124
Symmetry: P4mm
Volume, Å³/atom: 20.44

Material: Cd2CoCl
Method: DFT, PBE
State: relaxed

Unit cell a=4.837 b=4.837 c=4.837 alpha=60.00 beta=60.00 gamma=60.00
Atoms (fractional coordinates):
Cl: 0.500 0.500 0.500
Co: 0.750 0.750 0.750
Cd: 0.000 0.000 0.000
Cd: 0.250 0.250 0.250

Calculated density, g cm⁻³: 6.6
Formation energy without anion corrections, eV/atom: 0.528
Energy above the most stable polymorph in this dataset, meV per atom: 536
Symmetry: F-43m
Volume, Å³/atom: 20.01

Material: CdCo2Cl
Method: DFT, PBE
State: relaxed

Unit cell a=2.969 b=2.969 c=7.459 alpha=90.00 beta=90.00 gamma=90.00
Atoms (fractional coordinates):
Cl: 0.500 0.500 0.823
Co: 0.000 0.000 0.029
Co: 0.500 0.500 0.205
Cd: 0.000 0.000 0.443

Calculated density, g cm⁻³: 6.7
Formation energy without anion corrections, eV/atom: 0.187
Energy above the most stable polymorph in this dataset, meV per atom: 73
Symmetry: P4mm
Volume, Å³/atom: 16.44